VASP calculation (GGA-PBE) on a relaxed structure of Lu2NbZn.

Geometry as CIF:
```
data_Lu2NbZn
_chemical_formula_sum 'Lu2 Nb1 Zn1'
_symmetry_space_group_name_H-M 'P 4/m m m'
_symmetry_Int_Tables_number 123
_symmetry_space_group_name_Hall '-P 4 2'
_cell_length_a 3.275
_cell_length_b 3.275
_cell_length_c 8.201
_cell_angle_alpha 90.00
_cell_angle_beta 90.00
_cell_angle_gamma 90.00
loop_
_atom_site_label
_atom_site_type_symbol
_atom_site_fract_x
_atom_site_fract_y
_atom_site_fract_z
_atom_site_occupancy
Lu1 Lu 0.000 0.000 0.238 1
Nb1 Nb 0.500 0.500 0.500 1
Zn1 Zn 0.500 0.500 0.000 1
```

**Calculated volume**: 88.0 Å³/cell
**ΔE_f**: -0.04 eV/atom
**Distance to the lowest polymorph of the same formula**: 0.00 eV/f.u.

VASP calculation (GGA-PBE) on a relaxed structure of SiBi.

Geometry as CIF:
```
data_SiBi
_chemical_formula_sum 'Si8 Bi8'
_symmetry_space_group_name_H-M 'I -4 3 m'
_symmetry_Int_Tables_number 217
_symmetry_space_group_name_Hall 'I -4 2 3'
_cell_length_a 8.936
_cell_length_b 8.936
_cell_length_c 8.936
_cell_angle_alpha 90.00
_cell_angle_beta 90.00
_cell_angle_gamma 90.00
loop_
_atom_site_label
_atom_site_type_symbol
_atom_site_fract_x
_atom_site_fract_y
_atom_site_fract_z
_atom_site_occupancy
Si1 Si 0.151 0.151 0.151 1
Bi1 Bi 0.162 0.162 0.838 1
```

**Energy relative to the elements, uncorrected**: 0.7117 eV/atom
**Calculated volume**: 713.6 Å³/cell

VASP calculation (GGA-PBE) on a relaxed structure of BAuSe2Cl.

Geometry as CIF:
```
data_BAuSe2Cl
_chemical_formula_sum 'B1 Au1 Se2 Cl1'
_symmetry_space_group_name_H-M 'P 4/m m m'
_symmetry_Int_Tables_number 123
_symmetry_space_group_name_Hall '-P 4 2'
_cell_length_a 5.113
_cell_length_b 5.113
_cell_length_c 4.976
_cell_angle_alpha 90.00
_cell_angle_beta 90.00
_cell_angle_gamma 90.00
loop_
_atom_site_label
_atom_site_type_symbol
_atom_site_fract_x
_atom_site_fract_y
_atom_site_fract_z
_atom_site_occupancy
B1 B 0.000 0.000 0.000 1
Au1 Au 0.500 0.500 0.500 1
Se1 Se 0.000 0.500 0.500 1
Cl1 Cl 0.500 0.500 0.000 1
```

**Energy relative to the elements, uncorrected**: 1.2601 eV/atom
**Calculated volume**: 130.1 Å³/cell

VASP calculation (GGA-PBE) on a relaxed structure of YPb2Au2.

Geometry as CIF:
```
data_YPb2Au2
_chemical_formula_sum 'Y2 Pb4 Au4'
_symmetry_space_group_name_H-M 'P 4/m b m'
_symmetry_Int_Tables_number 127
_symmetry_space_group_name_Hall '-P 4 2ab'
_cell_length_a 7.614
_cell_length_b 7.614
_cell_length_c 4.433
_cell_angle_alpha 90.00
_cell_angle_beta 90.00
_cell_angle_gamma 90.00
loop_
_atom_site_label
_atom_site_type_symbol
_atom_site_fract_x
_atom_site_fract_y
_atom_site_fract_z
_atom_site_occupancy
Y1 Y 0.000 0.000 0.000 1
Pb1 Pb 0.183 0.317 0.500 1
Au1 Au 0.128 0.628 0.000 1
```

**Calculated volume**: 257.0 Å³/cell
**ΔE_f**: -0.33 eV/atom
**Distance to the lowest polymorph of the same formula**: 0.00 eV/f.u.

VASP calculation (GGA-PBE) on a relaxed structure of PrEr4Tm7.

Geometry as CIF:
```
data_PrEr4Tm7
_chemical_formula_sum 'Pr2 Er8 Tm14'
_symmetry_space_group_name_H-M 'C 1 2/m 1'
_symmetry_Int_Tables_number 12
_symmetry_space_group_name_Hall '-C 2y'
_cell_length_a 11.995
_cell_length_b 5.795
_cell_length_c 12.473
_cell_angle_alpha 90.00
_cell_angle_beta 117.91
_cell_angle_gamma 90.00
loop_
_atom_site_label
_atom_site_type_symbol
_atom_site_fract_x
_atom_site_fract_y
_atom_site_fract_z
_atom_site_occupancy
Pr1 Pr 0.000 0.000 0.000 1
Er1 Er 0.130 0.500 0.774 1
Er2 Er 0.247 0.500 0.315 1
Tm1 Tm 0.000 0.500 0.000 1
Tm2 Tm 0.057 0.000 0.334 1
Tm3 Tm 0.136 0.500 0.506 1
Tm4 Tm 0.211 0.000 0.922 1
```

**Calculated volume**: 766.1 Å³/cell
**ΔE_f**: 0.29 eV/atom
**Distance to the lowest polymorph of the same formula**: 3.44 eV/f.u.

VASP calculation (GGA-PBE) on a relaxed structure of TbNpPb2.

Geometry as CIF:
```
data_TbNpPb2
_chemical_formula_sum 'Tb3 Np3 Pb6'
_symmetry_space_group_name_H-M 'R -3 m'
_symmetry_Int_Tables_number 166
_symmetry_space_group_name_Hall '-R 3 2"'
_cell_length_a 3.3999
_cell_length_b 3.3999
_cell_length_c 36.1856
_cell_angle_alpha 90.00
_cell_angle_beta 90.00
_cell_angle_gamma 120.00
loop_
_atom_site_label
_atom_site_type_symbol
_atom_site_fract_x
_atom_site_fract_y
_atom_site_fract_z
_atom_site_occupancy
Tb1 Tb 0.0000 0.0000 0.0000 1
Np1 Np 0.0000 0.0000 0.5000 1
Pb1 Pb 0.0000 0.0000 0.0875 1
```

**Calculated volume**: 362.2 Å³/cell
**ΔE_f**: 0.26 eV/atom

Question: What is the calculated volume in the fourth record?
Answer: 257.0 Å³/cell